Compound: AsPt
Source: the Alexandria database
Functional: GGA-PBE
Structure: relaxed

```
12
Lattice="4.1239 0.0000 0.0000 0.0000 5.5829 0.0000 0.0000 0.0000 9.9873" Properties=species:S:1:pos:R:3 pbc="T T T"
Pt 2.0619 1.8499 2.7509
Pt 2.0619 1.8499 7.2364
Pt 2.0619 1.2853 0.0000
Pt 0.0000 4.2976 4.9936
Pt 0.0000 3.7330 7.7445
Pt 0.0000 3.7330 2.2427
As 0.0000 0.5993 3.4142
As 0.0000 0.5993 6.5731
As 0.0000 2.6148 0.0000
As 2.0619 4.9837 8.4078
As 2.0619 4.9837 1.5795
As 2.0619 2.9682 4.9936
```

Output
The total moment is 0.00 μB/atom. The formation energy comes out at -0.268 eV per atom. As for the total energy: -5.61 eV/atom. The value obtained for the calculated density is 11.70 g/cm3. Its space group is Pmmn, No. 59.